Record 1
Mg5Ag2Hg | PBE | optimized geometry

Unit cell a=4.6810 b=6.0379 c=11.4267 alpha=90.00 beta=90.00 gamma=90.00
Fractional coordinates of all 16 atoms:
Mg1 0.0000 0.0000 0.0000
Mg2 0.0000 0.3645 0.7617
Mg3 0.5000 0.8426 0.3841
Ag1 0.5000 0.1280 0.8664
Hg1 0.0000 0.0000 0.5000
Mg4 0.5000 0.1574 0.6159
Mg5 0.0000 0.5000 0.5000
Mg6 0.5000 0.6574 0.8841
Mg7 0.5000 0.3426 0.1159
Hg2 0.0000 0.5000 0.0000
Ag2 0.5000 0.3720 0.3664
Ag3 0.5000 0.8720 0.1336
Mg8 0.0000 0.1355 0.2617
Mg9 0.0000 0.8645 0.7383
Ag4 0.5000 0.6280 0.6336
Mg10 0.0000 0.6355 0.2383

Spin magnetization, μB/cell: 0.00

Record 2
Mg2AgHg4 | PBE | optimized geometry

Unit cell a=10.5606 b=10.5603 c=8.7993 alpha=65.33 beta=65.33 gamma=49.16
Fractional coordinates of all 28 atoms:
Hg1 0.7677 0.2323 0.7677
Ag1 0.6250 0.1250 0.1250
Hg2 0.0183 0.4819 0.0180
Hg3 0.4819 0.0183 0.0180
Hg4 0.7569 0.7569 0.2428
Hg5 0.2323 0.7677 0.7676
Mg1 0.3798 0.3797 0.8674
Ag2 0.1250 0.1250 0.1250
Mg2 0.3818 0.8767 0.8708
Hg6 0.0177 0.4823 0.4824
Ag3 0.1250 0.6250 0.1250
Mg3 0.3733 0.8682 0.3792
Mg4 0.8767 0.3818 0.8708
Hg7 0.1250 0.6250 0.6250
Hg8 0.2317 0.7681 0.2320
Hg9 0.0070 0.0070 0.4929
Mg5 0.3792 0.3792 0.3735
Hg10 0.6250 0.6250 0.1250
Mg6 0.8702 0.8702 0.3826
Hg11 0.6250 0.1250 0.6250
Ag4 0.1250 0.1250 0.6250
Mg7 0.8682 0.3733 0.3792
Hg12 0.4823 0.0177 0.4823
Hg13 0.6250 0.6250 0.6250
Hg14 0.4931 0.4931 0.0072
Mg8 0.8708 0.8708 0.8765
Hg15 0.2430 0.2430 0.7571
Hg16 0.7681 0.2317 0.2320

Excess energy over the best structure of this formula in the dataset, eV/atom: 0.035
Spin magnetization, μB/cell: 0.00

Record 3
MgAg3Hg | PBE | optimized geometry

Unit cell a=4.9139 b=5.8956 c=7.1398 alpha=90.00 beta=70.04 gamma=90.00
Fractional coordinates of all 10 atoms:
Ag1 0.1879 0.5023 0.1238
Ag2 0.1879 0.9977 0.1238
Mg1 0.6156 0.7500 0.2687
Mg2 0.3844 0.2500 0.7313
Hg1 0.3866 0.7500 0.7283
Ag3 0.8121 0.0023 0.8762
Ag4 0.0037 0.7500 0.4957
Hg2 0.6134 0.2500 0.2717
Ag5 0.9963 0.2500 0.5043
Ag6 0.8121 0.4977 0.8762

Excess energy over the best structure of this formula in the dataset, eV/atom: 0.000
Spin magnetization, μB/cell: 0.00

Number 1: formation energy from the elements -1.36 eV per formula unit. Number 2: formation energy from the elements -0.18 eV per formula unit. Number 3: formation energy from the elements -0.33 eV per formula unit.